Dy3HoCu4 | Alexandria via LeMat-Bulk | PBE | relaxed; crystal system = orthorhombic; uncorrected energy = -4.601 eV per atom; SG = Pmmm
1.0
3.450 0.000 0.000
0.000 4.907 0.000
0.000 0.000 9.813
Ho Dy Cu
1 3 4
direct
0.500 0.500 0.000 Ho
0.500 0.000 0.750 Dy
0.500 0.000 0.250 Dy
0.500 0.500 0.500 Dy
0.000 0.000 0.000 Cu
0.000 0.000 0.500 Cu
0.000 0.500 0.249 Cu
0.000 0.500 0.751 Cu

Zn2TcPt | Alexandria via LeMat-Bulk | PBE | relaxed; crystal system = monoclinic; SG = C2/m; energy above the most stable polymorph in this dataset = 0.000 eV/atom
1.0
-4.564 -0.197 0.059
-3.690 -2.259 -1.466
-0.558 -3.112 3.890
Pt Tc Zn
1 1 2
direct
0.750 0.750 0.750 Pt
0.250 0.250 0.250 Tc
0.499 0.499 0.496 Zn
0.001 0.001 0.004 Zn

SrOsRu2 | Alexandria via LeMat-Bulk | PBE | relaxed; crystal system = trigonal; SG = R-3m; energy above the most stable polymorph in this dataset = 0.284 eV/atom
1.0
-7.360 -5.905 3.077
-5.688 -7.899 1.941
-5.260 -7.040 4.614
Ru Sr Os
2 1 1
direct
0.012 0.012 0.012 Ru
0.488 0.488 0.488 Ru
0.250 0.250 0.250 Sr
0.750 0.750 0.750 Os

Ac8PPt3Br3 | Alexandria via LeMat-Bulk | PBE | relaxed; crystal system = monoclinic; ΔE_f (raw) = -27.57 kcal/mol of atoms; SG = C2/m
1.0
9.016 0.000 0.000
-4.508 7.799 -0.033
0.000 -5.176 7.757
Pt Br Ac P
3 3 8 1
direct
0.500 0.500 0.500 Pt
0.500 0.000 0.500 Pt
0.000 0.500 0.500 Pt
0.500 0.500 0.000 Br
0.000 0.500 0.000 Br
0.000 0.000 0.000 Br
0.757 0.032 0.289 Ac
0.266 0.532 0.298 Ac
0.734 0.468 0.702 Ac
0.757 0.514 0.289 Ac
0.243 0.486 0.711 Ac
0.275 0.032 0.289 Ac
0.243 0.968 0.711 Ac
0.725 0.968 0.711 Ac
0.000 0.000 0.500 P

SrWS2 | Alexandria via LeMat-Bulk | PBE | relaxed; crystal system = trigonal; ΔE_f (raw) = -7.08 kcal/mol of atoms; SG = R-3m; energy above the most stable polymorph in this dataset = 0.255 eV/atom
1.0
2.018 0.000 8.851
-1.009 1.748 8.851
-1.009 -1.748 8.851
W S Sr
1 2 1
direct
0.500 0.500 0.500 W
0.112 0.112 0.112 S
0.888 0.888 0.888 S
0.000 0.000 0.000 Sr

LaNd5Ho3 | Alexandria via LeMat-Bulk | PBE | relaxed; crystal system = monoclinic; SG = C2/m; energy above the most stable polymorph in this dataset = 0.174 eV/atom
1.0
9.523 -0.169 1.672
2.444 9.206 1.672
5.686 4.293 9.449
Nd Ho La
10 6 2
direct
0.745 0.255 0.000 Nd
0.852 0.350 0.260 Nd
0.650 0.148 0.740 Nd
0.148 0.650 0.740 Nd
0.174 0.174 0.053 Nd
0.826 0.826 0.947 Nd
0.350 0.852 0.260 Nd
0.255 0.745 0.000 Nd
0.498 0.498 0.231 Nd
0.502 0.502 0.769 Nd
0.318 0.318 0.176 Ho
0.661 0.661 0.351 Ho
0.000 0.000 0.500 Ho
0.000 0.000 0.000 Ho
0.682 0.682 0.824 Ho
0.339 0.339 0.649 Ho
0.168 0.168 0.581 La
0.832 0.832 0.419 La

LaCe2Co | Alexandria via LeMat-Bulk | PBE | relaxed; crystal system = trigonal; SG = R3m; energy above the most stable polymorph in this dataset = 0.090 eV/atom
1.0
3.776 0.000 0.000
1.888 3.270 0.000
1.888 1.090 8.945
Co Ce La
1 2 1
direct
0.666 0.666 0.003 Co
0.058 0.058 0.826 Ce
0.276 0.276 0.172 Ce
0.501 0.501 0.498 La

ZnPd2Pb2 | Alexandria via LeMat-Bulk | PBE | relaxed; crystal system = tetragonal; SG = P4/mbm; energy above the most stable polymorph in this dataset = 0.178 eV/atom
1.0
-3.975 -5.064 4.915
2.282 -6.261 -4.605
2.744 -0.360 1.849
Pb Zn Pd
4 2 4
direct
0.834 0.666 0.000 Pb
0.334 0.834 0.000 Pb
0.166 0.334 0.000 Pb
0.666 0.166 0.000 Pb
0.500 0.500 0.000 Zn
0.000 0.000 0.000 Zn
0.628 0.872 0.500 Pd
0.128 0.628 0.500 Pd
0.372 0.128 0.500 Pd
0.872 0.372 0.500 Pd

Nd3Er3ScS8 | Alexandria via LeMat-Bulk | PBE | relaxed; crystal system = trigonal; ΔE_f (raw) = -46.72 kcal/mol of atoms; SG = R-3m
1.0
-5.951 -2.574 4.377
7.118 0.784 3.148
-4.184 6.486 -1.874
Er Nd S Sc
3 3 8 1
direct
0.500 0.500 0.500 Er
0.500 0.000 0.500 Er
0.000 0.500 0.500 Er
0.500 0.500 0.000 Nd
0.000 0.000 0.000 Nd
0.000 0.500 0.000 Nd
0.240 0.480 0.728 S
0.252 0.012 0.272 S
0.748 0.988 0.728 S
0.760 0.012 0.272 S
0.256 0.512 0.268 S
0.240 0.988 0.728 S
0.760 0.520 0.272 S
0.744 0.488 0.732 S
0.000 0.000 0.500 Sc

Y2AlIn2 | Alexandria via LeMat-Bulk | PBE | relaxed; crystal system = monoclinic; SG = C2/m; energy above the most stable polymorph in this dataset = 0.000 eV/atom
1.0
4.474 0.000 0.959
2.233 5.649 0.496
0.175 -0.900 10.101
In Y Al
4 4 2
direct
0.650 0.811 0.889 In
0.910 0.739 0.441 In
0.090 0.261 0.559 In
0.350 0.189 0.111 In
0.674 0.328 0.324 Y
0.076 0.744 0.105 Y
0.924 0.256 0.895 Y
0.326 0.672 0.676 Y
0.388 0.901 0.323 Al
0.612 0.099 0.677 Al

PaGa9Fe2 | Alexandria via LeMat-Bulk | PBE | relaxed; crystal system = tetragonal; uncorrected energy = -4.532 eV per atom; SG = I4_1/amd
1.0
6.642 0.000 3.058
3.321 7.259 1.529
0.285 0.000 8.123
Ga Pa Fe
18 2 4
direct
0.444 0.418 0.824 Ga
0.306 0.082 0.676 Ga
0.063 0.324 0.918 Ga
0.613 0.324 0.082 Ga
0.000 0.000 0.000 Ga
0.613 0.082 0.324 Ga
0.018 0.676 0.918 Ga
0.137 0.418 0.176 Ga
0.137 0.176 0.418 Ga
0.063 0.918 0.324 Ga
0.306 0.676 0.082 Ga
0.687 0.176 0.582 Ga
0.732 0.582 0.824 Ga
0.732 0.824 0.582 Ga
0.750 0.500 0.500 Ga
0.018 0.918 0.676 Ga
0.444 0.824 0.418 Ga
0.687 0.582 0.176 Ga
0.250 0.500 0.500 Pa
0.500 0.000 0.000 Pa
0.875 0.250 0.750 Fe
0.875 0.750 0.250 Fe
0.875 0.250 0.250 Fe
0.375 0.750 0.750 Fe

TaNi2SnSe | Alexandria via LeMat-Bulk | PBE | relaxed; crystal system = tetragonal; ΔE_f (raw) = 14.73 kcal/mol of atoms; SG = P4/mmm
1.0
-0.472 0.956 -4.607
-0.599 -4.766 -0.928
-4.669 0.474 0.577
Ni Se Ta Sn
2 1 1 1
direct
0.000 0.000 0.500 Ni
0.500 0.000 0.000 Ni
0.000 0.500 0.000 Se
0.000 0.000 0.000 Ta
0.500 0.500 0.500 Sn

Zr2HgI8 | Alexandria via LeMat-Bulk | PBE | relaxed; crystal system = monoclinic; ΔE_f (raw) = -17.35 kcal/mol of atoms; SG = C2/m
1.0
-7.986 2.843 1.103
-4.337 -7.953 -0.176
4.985 -1.382 6.806
Zr I Hg
2 8 1
direct
0.745 0.505 0.255 Zr
0.255 0.495 0.745 Zr
0.350 0.627 0.106 I
0.643 0.275 0.357 I
0.650 0.373 0.894 I
0.106 0.373 0.350 I
0.894 0.627 0.650 I
0.794 0.786 0.206 I
0.357 0.725 0.643 I
0.206 0.214 0.794 I
0.000 0.000 0.000 Hg

Ca2Zn2SnPd5 | Alexandria via LeMat-Bulk | PBE | relaxed; crystal system = tetragonal; uncorrected energy = -4.331 eV per atom; SG = P4/mbm
1.0
3.740 0.000 0.000
0.000 9.895 0.000
0.000 0.000 9.895
Pd Sn Ca Zn
10 2 4 4
direct
0.500 0.706 0.432 Pd
0.500 0.568 0.706 Pd
0.500 0.068 0.794 Pd
0.500 0.932 0.206 Pd
0.500 0.432 0.294 Pd
0.500 0.000 0.500 Pd
0.500 0.500 0.000 Pd
0.500 0.294 0.568 Pd
0.500 0.206 0.068 Pd
0.500 0.794 0.932 Pd
0.000 0.500 0.500 Sn
0.000 0.000 0.000 Sn
0.000 0.825 0.675 Ca
0.000 0.175 0.325 Ca
0.000 0.325 0.825 Ca
0.000 0.675 0.175 Ca
0.000 0.878 0.378 Zn
0.000 0.622 0.878 Zn
0.000 0.378 0.122 Zn
0.000 0.122 0.622 Zn

Ni2AsS | Alexandria via LeMat-Bulk | PBE | relaxed; crystal system = trigonal; ΔE_f (raw) = -0.54 kcal/mol of atoms; SG = R-3m; energy above the most stable polymorph in this dataset = 0.188 eV/atom
1.0
3.877 0.000 0.000
1.939 3.358 0.000
1.939 1.119 5.560
Ni S As
2 1 1
direct
0.876 0.876 0.371 Ni
0.124 0.124 0.629 Ni
0.000 0.000 0.000 S
0.500 0.500 0.500 As

RbHg3Pd | Alexandria via LeMat-Bulk | PBE | relaxed; crystal system = monoclinic; SG = C2/m; energy above the most stable polymorph in this dataset = 0.088 eV/atom
1.0
-14.863 6.810 11.925
-7.518 0.483 1.334
5.980 -4.697 -0.844
Pd Hg Rb
2 6 2
direct
0.074 0.124 0.876 Pd
0.926 0.876 0.124 Pd
0.642 0.274 0.726 Hg
0.975 0.432 0.568 Hg
0.025 0.568 0.432 Hg
0.769 0.493 0.507 Hg
0.358 0.726 0.274 Hg
0.231 0.507 0.493 Hg
0.355 0.031 0.969 Rb
0.645 0.969 0.031 Rb

TaCd3S | Alexandria via LeMat-Bulk | PBE | relaxed; crystal system = cubic; ΔE_f (raw) = 25.73 kcal/mol of atoms; SG = Pm-3m; energy above the most stable polymorph in this dataset = 0.000 eV/atom
1.0
-0.591 -4.185 2.697
-1.318 -2.488 -4.149
4.801 -1.198 -0.807
S Cd Ta
1 3 1
direct
0.000 0.000 0.000 S
0.000 0.500 0.000 Cd
0.500 0.000 0.000 Cd
0.000 0.000 0.500 Cd
0.500 0.500 0.500 Ta

Pu2NiB2Ir5 | Alexandria via LeMat-Bulk | PBE | relaxed; crystal system = tetragonal; uncorrected energy = -9.558 eV per atom; SG = P4/mbm
1.0
-2.296 -2.000 1.584
3.897 -7.427 -3.729
5.600 -0.696 7.239
Ir B Pu Ni
10 4 4 2
direct
0.500 0.000 0.500 Ir
0.500 0.570 0.713 Ir
0.500 0.713 0.430 Ir
0.500 0.930 0.213 Ir
0.500 0.787 0.930 Ir
0.500 0.287 0.570 Ir
0.500 0.213 0.070 Ir
0.500 0.500 0.000 Ir
0.500 0.070 0.787 Ir
0.500 0.430 0.287 Ir
0.000 0.877 0.377 B
0.000 0.377 0.123 B
0.000 0.123 0.623 B
0.000 0.623 0.877 B
0.000 0.823 0.677 Pu
0.000 0.323 0.823 Pu
0.000 0.177 0.323 Pu
0.000 0.677 0.177 Pu
0.000 0.500 0.500 Ni
0.000 0.000 0.000 Ni

NaTiO3 | Alexandria via LeMat-Bulk | PBE | relaxed; crystal system = trigonal; ΔE_f (raw) = -38.79 kcal/mol of atoms; SG = R3m
1.0
3.691 0.000 2.917
-1.846 3.197 2.917
-1.846 -3.197 2.917
Na O Ti
1 3 1
direct
0.563 0.563 0.563 Na
0.664 0.664 0.087 O
0.087 0.664 0.664 O
0.664 0.087 0.664 O
0.897 0.897 0.897 Ti

Pm2Si3Pd5 | Alexandria via LeMat-Bulk | PBE | relaxed; crystal system = orthorhombic; ΔE_f (raw) = -18.59 kcal/mol of atoms; SG = Cmc2_1; energy above the most stable polymorph in this dataset = 0.048 eV/atom
1.0
-0.905 2.703 -3.208
-3.091 -4.993 -3.336
-10.130 1.563 7.047
Pm Si Pd
4 6 10
direct
0.826 0.256 0.653 Pm
0.525 0.221 0.051 Pm
0.475 0.721 0.949 Pm
0.174 0.756 0.347 Pm
0.949 0.425 0.897 Si
0.624 0.458 0.247 Si
0.051 0.925 0.103 Si
0.228 0.309 0.455 Si
0.376 0.958 0.753 Si
0.772 0.809 0.545 Si
0.593 0.820 0.186 Pd
0.946 0.053 0.892 Pd
0.724 0.500 0.448 Pd
0.872 0.733 0.743 Pd
0.300 0.590 0.599 Pd
0.128 0.233 0.257 Pd
0.407 0.320 0.814 Pd
0.054 0.553 0.108 Pd
0.276 0.000 0.552 Pd
0.700 0.090 0.401 Pd